! Al2GaAg, relaxed, DFT GGA-PBE; values from VASP
! DFT total energy in eV for the cell shown: -12.9
&SYSTEM
  ibrav = 0, nat = 4, ntyp = 3
/
ATOMIC_SPECIES
Ag 107.87 Ag.upf
Al 26.98 Al.upf
Ga 69.72 Ga.upf
CELL_PARAMETERS angstrom
0.000 3.300 3.300
3.300 0.000 3.300
3.300 3.300 0.000
ATOMIC_POSITIONS angstrom
Ag 3.300 3.300 3.300
Al 0.000 0.000 0.000
Al 1.650 1.650 1.650
Ga 4.950 4.950 4.950